# Li7Mn2Co3O12

Li7Mn2Co3O12 after structural relaxation (GGA+U, Alexandria).

Space-group type   P1 (1)
E_tot   -5.854 eV per atom

POSCAR file:
```
Li7Mn2Co3O12
1.0
2.904 0.000 0.000
-1.263 4.892 0.000
-1.123 -2.054 14.754
Li Mn Co O
7 2 3 12
Cartesian
0.000 0.000 0.000
-1.218 3.246 3.650
0.098 1.031 4.730
-1.037 2.385 12.320
0.278 1.983 9.785
1.620 0.495 2.543
1.652 1.505 7.359
0.286 3.746 6.055
1.680 -0.288 11.042
0.109 -0.746 8.567
0.163 2.703 1.276
0.405 0.206 13.540
-1.168 2.554 5.609
-1.212 3.337 10.339
0.111 0.010 6.785
0.185 1.883 2.864
-0.890 1.415 14.209
0.290 3.003 7.952
1.545 -0.314 4.436
0.408 0.994 11.736
1.594 1.572 0.590
1.570 0.435 9.165
1.655 3.858 1.729
1.679 -1.068 12.892
```